Nd2SmZn | PBE-GGA | relaxed

Results
- Formation enthalpy at 0 K: -0.03 eV per atom
- Energy above the most stable polymorph in this dataset: 117 meV/atom
- Crystal system: trigonal

a b c (Å): 3.6905 3.6905 10.7887
angles (deg): 80.18 80.18 60.02
Atoms (fractional coordinates):
Nd  0.0718  0.0718  0.7846
Nd  0.2616  0.2616  0.2151
Sm  0.5000  0.5000  0.4999
Zn  0.6665  0.6665  0.0004